Record 1
! Na2NpI6 PBE optimized geometry; values from VASP
! formation energy from raw total energies: -0.979 eV/atom
! volume: 41.93 A^3/atom
! VASP energy: -3.744 eV/atom
! density: 4.60 g cm⁻³
! relative energy among the computed polymorphs: 0 meV/atom
! crystal system: monoclinic
&SYSTEM
  ibrav = 0, nat = 18, ntyp = 3
/
ATOMIC_SPECIES
Na 22.99 Na.upf
I 126.90 I.upf
Np 237.00 Np.upf
CELL_PARAMETERS angstrom
-5.237 0.670 5.646
-5.750 -3.234 -4.950
3.076 -10.880 3.536
ATOMIC_POSITIONS crystal
Na 0.458 0.100 0.282
I 0.186 0.308 0.062
I 0.849 0.945 0.265
Na 0.042 0.600 0.218
Np 0.500 0.500 0.000
I 0.831 0.693 0.578
Na 0.958 0.400 0.782
Np 0.000 0.000 0.500
I 0.151 0.055 0.735
I 0.686 0.192 0.562
I 0.669 0.193 0.922
I 0.651 0.445 0.235
Na 0.542 0.900 0.718
I 0.331 0.807 0.078
I 0.314 0.808 0.438
I 0.814 0.692 0.938
I 0.169 0.307 0.422
I 0.349 0.555 0.765

Record 2
! Pr7N5O PBE optimized geometry; values from VASP
! formation energy from raw total energies: -1.338 eV/atom
! volume: 18.62 A^3/atom
! VASP energy: -7.495 eV/atom
! density: 7.36 g cm⁻³
! crystal system: triclinic
&SYSTEM
  ibrav = 0, nat = 26, ntyp = 3
/
ATOMIC_SPECIES
N 14.01 N.upf
O 16.00 O.upf
Pr 140.91 Pr.upf
CELL_PARAMETERS angstrom
-1.348 -3.267 -0.998
3.158 -0.903 5.471
-18.057 4.063 11.090
ATOMIC_POSITIONS crystal
N 0.447 0.893 0.649
O 0.202 0.405 0.750
Pr 0.082 0.164 0.603
N 0.726 0.452 0.576
Pr 0.456 0.916 0.250
N 0.726 0.452 0.924
Pr 0.361 0.722 0.535
N 0.000 0.001 0.000
N 0.554 0.108 0.351
Pr 0.815 0.630 0.826
O 0.798 0.596 0.250
Pr 0.918 0.837 0.397
N 0.275 0.549 0.076
Pr 0.186 0.371 0.174
Pr 0.815 0.630 0.674
N 0.275 0.549 0.424
Pr 0.640 0.279 0.465
Pr 0.082 0.164 0.897
Pr 0.186 0.371 0.326
N 0.000 0.001 0.500
Pr 0.918 0.837 0.103
N 0.447 0.893 0.851
N 0.554 0.108 0.149
Pr 0.640 0.279 0.035
Pr 0.361 0.722 0.965
Pr 0.544 0.085 0.750

Record 3
! HoTm3In2 PBE optimized geometry; values from VASP
! volume: 27.38 A^3/atom
! VASP energy: -4.183 eV/atom
! ΔH_f (0 K): -0.2720 eV/atom
! density: 9.11 g cm⁻³
! relative energy among the computed polymorphs: 40 meV/atom
! crystal system: orthorhombic
&SYSTEM
  ibrav = 0, nat = 12, ntyp = 3
/
ATOMIC_SPECIES
In 114.82 In.upf
Tm 168.93 Tm.upf
Ho 164.93 Ho.upf
CELL_PARAMETERS angstrom
5.312 0.000 0.000
0.000 7.507 0.000
-2.656 -3.754 8.240
ATOMIC_POSITIONS crystal
In 0.654 0.154 0.308
Tm 0.178 0.428 0.356
Ho 0.000 0.500 0.000
Tm 0.500 0.750 0.000
Tm 0.500 0.250 0.000
In 0.654 0.654 0.308
In 0.346 0.346 0.692
Tm 0.822 0.072 0.644
Tm 0.822 0.572 0.644
Tm 0.178 0.928 0.356
Ho 0.000 0.000 0.000
In 0.346 0.846 0.692

Record 4
! Y2Mg PBE optimized geometry; values from VASP
! volume: 33.35 A^3/atom
! VASP energy: -4.515 eV/atom
! ΔH_f (0 K): 0.3259 eV/atom
! density: 3.35 g cm⁻³
! crystal system: tetragonal
&SYSTEM
  ibrav = 0, nat = 3, ntyp = 2
/
ATOMIC_SPECIES
Y 88.91 Y.upf
Mg 24.30 Mg.upf
CELL_PARAMETERS angstrom
-4.651 2.207 1.596
-1.941 -4.902 1.120
1.220 0.250 3.210
ATOMIC_POSITIONS crystal
Y 0.500 0.000 0.500
Y 0.000 0.500 0.500
Mg 0.000 0.000 0.000

Record 5
! SmAlGePt3 PBE optimized geometry; values from VASP
! volume: 21.25 A^3/atom
! VASP energy: -5.993 eV/atom
! ΔH_f (0 K): -0.7927 eV/atom
! density: 10.88 g cm⁻³
! crystal system: orthorhombic
&SYSTEM
  ibrav = 0, nat = 12, ntyp = 4
/
ATOMIC_SPECIES
Pt 195.08 Pt.upf
Ge 72.64 Ge.upf
Al 26.98 Al.upf
Sm 150.36 Sm.upf
CELL_PARAMETERS angstrom
5.631 0.000 0.000
0.000 5.665 0.000
0.000 -2.832 7.995
ATOMIC_POSITIONS crystal
Pt 0.750 0.751 0.502
Ge 0.750 0.596 0.191
Pt 0.000 0.249 0.000
Al 0.750 0.905 0.810
Ge 0.250 0.404 0.809
Pt 0.500 0.751 0.000
Al 0.250 0.095 0.190
Pt 0.250 0.249 0.498
Sm 0.250 0.690 0.380
Pt 0.500 0.249 0.000
Pt 0.000 0.751 0.000
Sm 0.750 0.310 0.620

Record 6
! Sm3GaCu3 PBE optimized geometry; values from VASP
! volume: 21.86 A^3/atom
! VASP energy: -4.503 eV/atom
! ΔH_f (0 K): -0.2928 eV/atom
! density: 7.72 g cm⁻³
! crystal system: monoclinic
&SYSTEM
  ibrav = 0, nat = 14, ntyp = 3
/
ATOMIC_SPECIES
Cu 63.55 Cu.upf
Sm 150.36 Sm.upf
Ga 69.72 Ga.upf
CELL_PARAMETERS angstrom
-0.417 -2.472 -3.457
3.742 -4.179 -0.100
-8.893 -9.453 5.196
ATOMIC_POSITIONS crystal
Cu 0.897 0.127 0.078
Cu 0.868 0.722 0.542
Sm 0.604 0.713 0.080
Sm 0.540 0.309 0.611
Sm 0.396 0.287 0.920
Cu 0.103 0.873 0.922
Cu 0.953 0.861 0.233
Sm 0.245 0.277 0.233
Cu 0.047 0.139 0.767
Ga 0.249 0.898 0.604
Sm 0.755 0.723 0.767
Ga 0.751 0.102 0.396
Cu 0.132 0.278 0.458
Sm 0.460 0.691 0.389

Record 7
! K2HfTlI8 PBE optimized geometry; values from VASP
! formation energy from raw total energies: -0.914 eV/atom
! volume: 49.01 A^3/atom
! VASP energy: -3.157 eV/atom
! density: 4.17 g cm⁻³
! crystal system: triclinic
&SYSTEM
  ibrav = 0, nat = 12, ntyp = 4
/
ATOMIC_SPECIES
I 126.90 I.upf
K 39.10 K.upf
Hf 178.49 Hf.upf
Tl 204.38 Tl.upf
CELL_PARAMETERS angstrom
-2.075 -7.326 2.780
4.177 1.018 5.551
-7.874 4.224 5.193
ATOMIC_POSITIONS crystal
I 0.477 0.235 0.500
K 0.500 0.502 0.220
I 0.880 0.241 0.798
I 0.523 0.765 0.500
I 0.120 0.759 0.202
Hf 0.000 0.000 0.000
I 0.878 0.240 0.200
I 0.692 0.799 0.998
Tl 0.000 0.000 0.500
I 0.308 0.201 0.002
I 0.122 0.760 0.800
K 0.500 0.498 0.780

Record 8
! KUPb2O6 PBE optimized geometry; values from VASP
! formation energy from raw total energies: -1.939 eV/atom
! volume: 18.29 A^3/atom
! VASP energy: -6.894 eV/atom
! density: 7.15 g cm⁻³
! crystal system: trigonal
&SYSTEM
  ibrav = 0, nat = 10, ntyp = 4
/
ATOMIC_SPECIES
O 16.00 O.upf
K 39.10 K.upf
Pb 207.20 Pb.upf
U 238.03 U.upf
CELL_PARAMETERS angstrom
6.211 0.000 0.002
3.105 5.379 0.002
3.107 1.794 5.475
ATOMIC_POSITIONS crystal
O 0.958 0.536 0.222
K 0.794 0.794 0.617
O 0.360 0.690 0.781
Pb 0.013 0.013 0.961
U 0.326 0.326 0.023
O 0.169 0.360 0.781
O 0.536 0.283 0.222
O 0.690 0.169 0.781
Pb 0.532 0.532 0.405
O 0.283 0.959 0.222

Record 9
! TeWAu2 PBE optimized geometry; values from VASP
! formation energy from raw total energies: 0.665 eV/atom
! volume: 18.88 A^3/atom
! VASP energy: -4.997 eV/atom
! density: 15.51 g cm⁻³
! crystal system: cubic
&SYSTEM
  ibrav = 0, nat = 4, ntyp = 3
/
ATOMIC_SPECIES
W 183.84 W.upf
Au 196.97 Au.upf
Te 127.60 Te.upf
CELL_PARAMETERS angstrom
4.744 0.000 0.000
2.372 4.109 0.000
2.372 1.370 3.874
ATOMIC_POSITIONS crystal
W 0.750 0.750 0.750
Au 0.000 0.000 0.000
Te 0.500 0.500 0.500
Au 0.250 0.250 0.250

Record 10
! LaTa2BeS PBE optimized geometry; values from VASP
! formation energy from raw total energies: 0.365 eV/atom
! volume: 20.01 A^3/atom
! VASP energy: -6.932 eV/atom
! density: 8.99 g cm⁻³
! crystal system: tetragonal
&SYSTEM
  ibrav = 0, nat = 5, ntyp = 4
/
ATOMIC_SPECIES
Ta 180.95 Ta.upf
S 32.06 S.upf
Be 9.01 Be.upf
La 138.91 La.upf
CELL_PARAMETERS angstrom
4.695 0.000 0.000
0.000 4.540 0.000
0.000 0.000 4.695
ATOMIC_POSITIONS crystal
Ta 0.500 0.000 0.000
Ta 0.000 0.000 0.500
S 0.000 0.000 0.000
Be 0.000 0.500 0.000
La 0.500 0.500 0.500

Record 11
! TiCuPb3 PBE optimized geometry; values from VASP
! volume: 27.95 A^3/atom
! VASP energy: -3.924 eV/atom
! ΔH_f (0 K): 0.6991 eV/atom
! density: 8.71 g cm⁻³
! relative energy among the computed polymorphs: 71 meV/atom
! crystal system: cubic
&SYSTEM
  ibrav = 0, nat = 5, ntyp = 3
/
ATOMIC_SPECIES
Cu 63.55 Cu.upf
Ti 47.87 Ti.upf
Pb 207.20 Pb.upf
CELL_PARAMETERS angstrom
-2.572 -3.468 -2.879
4.083 -3.196 0.202
-1.908 -2.165 4.313
ATOMIC_POSITIONS crystal
Cu 0.000 0.000 0.000
Ti 0.500 0.500 0.500
Pb 0.000 0.500 0.000
Pb 0.000 0.000 0.500
Pb 0.500 0.000 0.000

Record 12
! V2InSiGe PBE optimized geometry; values from VASP
! formation energy from raw total energies: 1.663 eV/atom
! volume: 25.58 A^3/atom
! VASP energy: -4.540 eV/atom
! density: 4.12 g cm⁻³
! crystal system: tetragonal
&SYSTEM
  ibrav = 0, nat = 5, ntyp = 4
/
ATOMIC_SPECIES
V 50.94 V.upf
Si 28.09 Si.upf
Ge 72.64 Ge.upf
In 114.82 In.upf
CELL_PARAMETERS angstrom
-3.521 3.054 1.997
0.247 -2.516 4.283
3.640 3.132 1.630
ATOMIC_POSITIONS crystal
V 0.500 0.000 0.000
Si 0.500 0.500 0.500
Ge 0.000 0.500 0.000
V 0.000 0.000 0.500
In 0.000 0.000 0.000